Entry 1:
VASP calculation (PBE-GGA) on crystalline Rb3As4HAu2O14 at its relaxed geometry.

Values from the calculation:
Space-group type   No. 2

Unit cell a=5.788 b=5.940 c=13.037 alpha=90.33 beta=101.44 gamma=118.20
Element x y z (fractional)
O 0.327 0.416 0.705
O 0.774 0.896 0.685
O 0.350 0.585 0.510
O 0.726 0.133 0.334
O 0.710 0.826 0.108
O 0.728 0.356 0.120
O 0.650 0.415 0.490
O 0.226 0.104 0.315
O 0.242 0.363 0.117
O 0.290 0.174 0.892
O 0.673 0.584 0.295
O 0.758 0.637 0.883
O 0.274 0.867 0.666
O 0.272 0.644 0.880
Rb 0.791 0.144 0.929
Rb 0.000 0.000 0.500
Rb 0.209 0.856 0.071
As 0.411 0.461 0.848
As 0.434 0.703 0.640
As 0.566 0.297 0.360
As 0.589 0.539 0.152
H 0.500 0.500 0.500
Au 0.996 0.267 0.230
Au 0.004 0.733 0.770

Entry 2:
VASP calculation (PBE-GGA) on crystalline AsH4WAuSe4 at its relaxed geometry.

Values from the calculation:
Space-group type   No. 1
Total magnetization   0.00 μB/cell

Unit cell a=5.835 b=6.905 c=6.905 alpha=79.79 beta=65.10 gamma=65.09
Element x y z (fractional)
Se 0.731 0.188 0.419
Se 0.339 0.811 0.581
Se 0.850 0.419 0.812
Se 0.080 0.581 0.189
H 0.226 0.188 0.084
H 0.482 0.820 0.917
H 0.596 0.913 0.183
H 0.697 0.081 0.815
W 0.750 0.500 0.500
As 0.500 0.000 0.000
Au 0.250 0.499 0.500

Entry 3:
VASP calculation (PBE-GGA) on crystalline Hf2AsAu at its relaxed geometry.

Values from the calculation:
Space-group type   No. 63
Total magnetization   0.00 μB/cell

Unit cell a=9.263 b=9.263 c=5.082 alpha=90.00 beta=90.00 gamma=158.38
Element x y z (fractional)
Hf 0.705 0.295 0.250
Hf 0.922 0.078 0.250
Hf 0.295 0.705 0.750
Hf 0.078 0.922 0.750
As 0.686 0.314 0.750
As 0.314 0.686 0.250
Au 0.547 0.453 0.250
Au 0.453 0.547 0.750

Entry 4:
VASP calculation (PBE-GGA) on crystalline Hf2AsAu at its relaxed geometry.

Values from the calculation:
Space-group type   No. 216
Total magnetization   1.56 μB/cell

Unit cell a=4.831 b=4.831 c=4.831 alpha=60.00 beta=60.00 gamma=60.00
Element x y z (fractional)
Hf 0.750 0.750 0.750
Hf 0.000 0.000 0.000
Au 0.250 0.250 0.250
As 0.500 0.500 0.500

Entry 5:
VASP calculation (PBE-GGA) on crystalline Hf4AsAuN2 at its relaxed geometry.

Values from the calculation:
Space-group type   No. 187
Total magnetization   0.02 μB/cell

Unit cell a=3.318 b=3.318 c=13.112 alpha=90.00 beta=90.00 gamma=120.00
Element x y z (fractional)
Hf 0.667 0.333 0.855
Hf 0.667 0.333 0.145
Hf 0.000 0.000 0.331
Hf 0.000 0.000 0.669
Au 0.667 0.333 0.500
N 0.333 0.667 0.759
N 0.333 0.667 0.241
As 0.000 0.000 0.000

Entry 6:
VASP calculation (PBE-GGA) on crystalline HfAsAuO at its relaxed geometry.

Values from the calculation:
Space-group type   No. 26
Total magnetization   0.00 μB/cell

Unit cell a=3.957 b=6.122 c=7.079 alpha=90.00 beta=90.00 gamma=90.00
Element x y z (fractional)
O 0.500 0.865 0.293
O 0.500 0.135 0.793
As 0.000 0.305 0.391
As 0.000 0.695 0.891
Hf 0.500 0.946 0.023
Hf 0.500 0.054 0.523
Au 0.000 0.679 0.548
Au 0.000 0.321 0.048

no.,E (eV per atom)
1,-5.329
2,-4.419
3,-7.525
4,-6.764
5,-9.240
6,-6.861